P2WSCl, relaxed, DFT PBE; E = -22.589 eV/f.u.; calculated density = 5.78 g/cm³; energy relative to the elements, uncorrected = 1.432 eV/atom; crystal system = tetragonal; energy relative to the lowest polymorph listed for this composition = 1.116 eV/atom
1.0
4.585 0.000 0.000
0.000 4.585 0.000
0.000 0.000 4.283
S P W Cl
1 2 1 1
Cartesian
0.000 0.000 0.000
2.293 0.000 0.000
0.000 2.293 0.000
2.293 2.293 2.142
0.000 0.000 2.142



Pm15SmEr4, relaxed, DFT PBE; E = -93.960 eV/f.u.; calculated density = 7.42 g/cm³; crystal system = tetragonal; ΔH_f (0 K) = 0.0135 eV per atom
1.0
-4.269 2.243 -1.733
-2.711 -2.315 3.681
4.126 19.844 15.518
Pm Sm Er
15 1 4
Cartesian
0.708 8.765 9.600
1.530 12.722 12.695
-0.938 0.851 3.411
1.574 18.957 13.081
-1.717 3.130 0.704
-3.490 -0.036 0.974
-0.194 15.815 13.370
-0.072 11.043 6.893
2.353 16.678 15.788
-1.838 7.907 7.185
0.751 15.001 9.988
-1.015 11.865 10.281
-2.659 3.957 4.097
-0.894 7.086 3.798
-0.115 4.807 6.505
0.000 0.000 0.000
3.296 15.856 12.399
1.651 7.943 6.212
2.474 11.901 9.307
0.829 3.988 3.119



Ga5Pd7, relaxed, DFT PBE; E = -57.539 eV/f.u.; calculated density = 9.39 g/cm³; crystal system = monoclinic; ΔH_f (0 K) = -0.5046 eV per atom
1.0
-4.093 -0.626 0.073
2.721 -3.543 4.680
-1.090 7.464 2.835
Pd Ga
7 5
Cartesian
-0.577 4.511 6.288
-2.186 0.949 2.996
-0.276 2.347 4.593
-1.886 -1.216 1.301
-0.679 4.822 3.251
-2.591 3.419 1.454
-1.784 -1.526 4.338
-2.137 0.929 5.544
-0.325 2.367 2.045
0.000 0.000 0.000
-2.581 3.724 4.636
0.119 -0.429 2.953